Material: Dy2Sb2O7
Method: DFT, PBEsol
State: optimized geometry

a = 7.4441 Å, b = 7.4441 Å, c = 18.3402 Å
α = 90.00°, β = 90.00°, γ = 120.00°
Fractional coordinates of all 66 atoms:
Dy: 0.0000 0.8240 0.3333
Dy: 0.0000 0.8367 0.8333
Dy: 0.8173 0.5008 0.9881
Dy: 0.8240 0.0000 0.0000
Dy: 0.4992 0.3165 0.3215
Dy: 0.8367 0.0000 0.5000
Dy: 0.6835 0.1827 0.6548
Dy: 0.5008 0.8173 0.3452
Dy: 0.3165 0.4992 0.0119
Dy: 0.1827 0.6835 0.6785
Dy: 0.1633 0.1633 0.1667
Dy: 0.1760 0.1760 0.6667
Sb: 0.0000 0.3281 0.8333
Sb: 0.0000 0.3014 0.3333
Sb: 0.8350 0.5019 0.4990
Sb: 0.4981 0.3331 0.8323
Sb: 0.6669 0.1650 0.1657
Sb: 0.6986 0.6986 0.6667
Sb: 0.3281 0.0000 0.5000
Sb: 0.6719 0.6719 0.1667
Sb: 0.3014 0.0000 0.0000
Sb: 0.5019 0.8350 0.8343
Sb: 0.3331 0.4981 0.5010
Sb: 0.1650 0.6669 0.1677
O: 0.9847 0.8364 0.7151
O: 0.0048 0.8068 0.1958
O: 0.8933 0.5504 0.6064
O: 0.9509 0.3806 0.1929
O: 0.6705 0.6643 0.0439
O: 0.7712 0.4634 0.3934
O: 0.9938 0.3295 0.7106
O: 0.7986 0.4800 0.8606
O: 0.6194 0.5703 0.5263
O: 0.5366 0.3078 0.7267
O: 0.5200 0.3186 0.1940
O: 0.6571 0.1067 0.2730
O: 0.8517 0.0153 0.3817
O: 0.6814 0.2014 0.5273
O: 0.8020 0.9952 0.8625
O: 0.8364 0.9847 0.6183
O: 0.6922 0.2288 0.0600
O: 0.8068 0.0048 0.1375
O: 0.4496 0.3429 0.9397
O: 0.4297 0.0491 0.8596
O: 0.1932 0.1980 0.5291
O: 0.3357 0.0062 0.3773
O: 0.5504 0.8933 0.7270
O: 0.3806 0.9509 0.1404
O: 0.6643 0.6705 0.2894
O: 0.1636 0.1483 0.0484
O: 0.4634 0.7712 0.9400
O: 0.3295 0.9938 0.6227
O: 0.4800 0.7986 0.4727
O: 0.5703 0.6194 0.8071
O: 0.3078 0.5366 0.6066
O: 0.3186 0.5200 0.1394
O: 0.1067 0.6571 0.0603
O: 0.0153 0.8517 0.9516
O: 0.2014 0.6814 0.8060
O: 0.9952 0.8020 0.4709
O: 0.2288 0.6922 0.2733
O: 0.3429 0.4496 0.3936
O: 0.0491 0.4297 0.4737
O: 0.1980 0.1932 0.8042
O: 0.0062 0.3357 0.9561
O: 0.1483 0.1636 0.2849

Crystal system ... trigonal
Final energy ... -7.501 eV per atom
Formation energy (no corrections) ... -2.43 eV/atom

***

Material: Sr2DySbO6
Method: DFT, PBEsol
State: optimized geometry

a = 5.8676 Å, b = 5.8676 Å, c = 5.8676 Å
α = 60.00°, β = 60.00°, γ = 60.00°
Fractional coordinates of all 10 atoms:
Sb: 0.5000 0.5000 0.5000
O: 0.2620 0.7380 0.2620
O: 0.2620 0.2620 0.7380
O: 0.7380 0.7380 0.2620
O: 0.2620 0.7380 0.7380
O: 0.7380 0.2620 0.7380
O: 0.7380 0.2620 0.2620
Sr: 0.2500 0.2500 0.2500
Sr: 0.7500 0.7500 0.7500
Dy: 0.0000 0.0000 0.0000

Crystal system ... cubic
Final energy ... -7.166 eV per atom
Formation energy (no corrections) ... -2.69 eV/atom

***

Material: Sr2DySbO6
Method: DFT, PBEsol
State: optimized geometry

a = 5.7919 Å, b = 5.8609 Å, c = 8.2245 Å
α = 90.00°, β = 89.75°, γ = 90.00°
Fractional coordinates of all 20 atoms:
Sr: 0.4910 0.4641 0.7496
Sr: 0.9910 0.0359 0.2496
Sr: 0.5090 0.5359 0.2504
Sr: 0.0090 0.9641 0.7504
Dy: 0.0000 0.5000 0.5000
Dy: 0.5000 0.0000 0.0000
Sb: 0.5000 0.0000 0.5000
Sb: 0.0000 0.5000 0.0000
O: 0.0788 0.4777 0.2361
O: 0.1976 0.2257 0.9567
O: 0.7266 0.2992 0.0406
O: 0.3024 0.7257 0.5433
O: 0.2734 0.7008 0.9594
O: 0.9212 0.5223 0.7639
O: 0.2266 0.2008 0.5406
O: 0.6976 0.2743 0.4567
O: 0.8024 0.7743 0.0433
O: 0.4212 0.9777 0.2639
O: 0.5788 0.0223 0.7361
O: 0.7734 0.7992 0.4594

Crystal system ... monoclinic
Final energy ... -7.219 eV per atom
Formation energy (no corrections) ... -2.75 eV/atom

***

Material: Dy2Se3O12
Method: DFT, PBEsol
State: optimized geometry

a = 6.7008 Å, b = 6.7008 Å, c = 11.1492 Å
α = 99.58°, β = 99.58°, γ = 116.62°
Fractional coordinates of all 34 atoms:
Dy: 0.9564 0.7066 0.4076
Dy: 0.7066 0.9564 0.9076
Dy: 0.2934 0.0436 0.0924
Dy: 0.0436 0.2934 0.5924
Se: 0.7898 0.5289 0.0761
Se: 0.5289 0.7898 0.5761
Se: 0.8826 0.1174 0.2500
Se: 0.1174 0.8826 0.7500
Se: 0.4711 0.2102 0.4239
Se: 0.2102 0.4711 0.9239
O: 0.1298 0.2115 0.2119
O: 0.9760 0.5815 0.2117
O: 0.6802 0.0776 0.1213
O: 0.8888 0.7901 0.0432
O: 0.2115 0.1298 0.7119
O: 0.5740 0.4671 0.3938
O: 0.3357 0.7691 0.4548
O: 0.2309 0.6643 0.0452
O: 0.5329 0.4260 0.1062
O: 0.5815 0.9760 0.7117
O: 0.2099 0.1112 0.4568
O: 0.9224 0.3198 0.3787
O: 0.0776 0.6802 0.6213
O: 0.7901 0.8888 0.5432
O: 0.4185 0.0240 0.2883
O: 0.4671 0.5740 0.8938
O: 0.7691 0.3357 0.9548
O: 0.6643 0.2309 0.5452
O: 0.4260 0.5329 0.6062
O: 0.7885 0.8702 0.2881
O: 0.1112 0.2099 0.9568
O: 0.3198 0.9224 0.8787
O: 0.0240 0.4185 0.7883
O: 0.8702 0.7885 0.7881

Crystal system ... monoclinic
Final energy ... -6.523 eV per atom
Energy above the most stable polymorph in this dataset ... 33.8 meV/atom
Formation energy (no corrections) ... -1.55 eV/atom

***

Material: Dy2Se3O12
Method: DFT, PBEsol
State: optimized geometry

a = 9.6119 Å, b = 9.6912 Å, c = 13.2244 Å
α = 90.00°, β = 90.00°, γ = 90.00°
Fractional coordinates of all 68 atoms:
Dy: 0.2502 0.9623 0.1186
Dy: 0.7498 0.4623 0.1186
Dy: 0.2498 0.4623 0.3814
Dy: 0.7502 0.9623 0.3814
Dy: 0.2498 0.0377 0.6186
Dy: 0.7502 0.5377 0.6186
Dy: 0.2502 0.5377 0.8814
Dy: 0.7498 0.0377 0.8814
Se: 0.0301 0.2500 0.0000
Se: 0.9699 0.7500 0.0000
Se: 0.3962 0.6163 0.1466
Se: 0.6038 0.1163 0.1466
Se: 0.1038 0.1163 0.3534
Se: 0.8962 0.6163 0.3534
Se: 0.4699 0.7500 0.5000
Se: 0.5301 0.2500 0.5000
Se: 0.1038 0.3837 0.6466
Se: 0.8962 0.8837 0.6466
Se: 0.3962 0.8837 0.8534
Se: 0.6038 0.3837 0.8534
O: 0.6645 0.0847 0.0321
O: 0.3355 0.5847 0.0321
O: 0.8700 0.6371 0.0584
O: 0.1300 0.1371 0.0584
O: 0.0675 0.8275 0.0857
O: 0.9325 0.3275 0.0857
O: 0.4331 0.0970 0.1478
O: 0.5669 0.5970 0.1478
O: 0.3595 0.7766 0.1800
O: 0.6405 0.2766 0.1800
O: 0.3245 0.5059 0.2262
O: 0.6755 0.0059 0.2262
O: 0.1755 0.0059 0.2738
O: 0.8245 0.5059 0.2738
O: 0.8595 0.7766 0.3200
O: 0.1405 0.2766 0.3200
O: 0.0669 0.5970 0.3522
O: 0.9331 0.0970 0.3522
O: 0.4325 0.3275 0.4143
O: 0.5675 0.8275 0.4143
O: 0.3700 0.6371 0.4416
O: 0.6300 0.1371 0.4416
O: 0.1645 0.0847 0.4679
O: 0.8355 0.5847 0.4679
O: 0.1645 0.4153 0.5321
O: 0.8355 0.9153 0.5321
O: 0.6300 0.3629 0.5584
O: 0.3700 0.8629 0.5584
O: 0.4325 0.1725 0.5857
O: 0.5675 0.6725 0.5857
O: 0.0669 0.9030 0.6478
O: 0.9331 0.4030 0.6478
O: 0.1405 0.2234 0.6800
O: 0.8595 0.7234 0.6800
O: 0.1755 0.4941 0.7262
O: 0.8245 0.9941 0.7262
O: 0.3245 0.9941 0.7738
O: 0.6755 0.4941 0.7738
O: 0.3595 0.7234 0.8200
O: 0.6405 0.2234 0.8200
O: 0.4331 0.4030 0.8522
O: 0.5669 0.9030 0.8522
O: 0.0675 0.6725 0.9143
O: 0.9325 0.1725 0.9143
O: 0.1300 0.3629 0.9416
O: 0.8700 0.8629 0.9416
O: 0.3355 0.9153 0.9679
O: 0.6645 0.4153 0.9679

Crystal system ... orthorhombic
Final energy ... -6.556 eV per atom
Energy above the most stable polymorph in this dataset ... 0.0 meV/atom
Formation energy (no corrections) ... -1.59 eV/atom

***

Material: Dy2SeO2
Method: DFT, PBEsol
State: optimized geometry

a = 3.7945 Å, b = 3.7945 Å, c = 6.7394 Å
α = 90.00°, β = 90.00°, γ = 120.00°
Fractional coordinates of all 5 atoms:
Se: 0.0000 0.0000 0.5000
O: 0.6667 0.3333 0.8742
O: 0.3333 0.6667 0.1258
Dy: 0.6667 0.3333 0.2094
Dy: 0.3333 0.6667 0.7906

Crystal system ... trigonal
Final energy ... -8.042 eV per atom
Formation energy (no corrections) ... -3.18 eV/atom